Te2I | the Alexandria database | PBE-GGA | optimized geometry; energy = -2.4236 eV per atom
1.0
-1.953 1.953 6.727
1.953 -1.953 6.727
1.953 1.953 -6.727
Te I
2 1
direct
0.201 0.201 0.000
0.799 0.799 0.000
0.500 0.500 0.000